# 1
This record from Alexandria via LeMat-Bulk describes BeCuW at its PBEsol-relaxed geometry. The functional is meta-GGA SCAN.

- Total DFT energy (no corrections): -28.489 eV per atom
- Energy of formation: 3.77 eV/f.u.
- Energy above the lowest structure with this stoichiometry: 91.3 kJ/mol of atoms

a = 5.5882 Å, b = 5.5882 Å, c = 5.5882 Å
α = 90.00°, β = 90.00°, γ = 90.00°
Space group F-43m (No. 216)
Inequivalent atoms, fractional coordinates:
Be 0.0000 0.0000 0.0000 [4 per cell]
Cu 0.0000 0.0000 0.5000 [4 per cell]
W 0.2500 0.2500 0.7500 [4 per cell]

---

# 2
This record from Alexandria via LeMat-Bulk describes BeCuW2 at its PBEsol-relaxed geometry. The functional is meta-GGA SCAN.

- Total DFT energy (no corrections): -39.240 eV per atom
- Energy of formation: 1.97 eV/f.u.
- Energy above the lowest structure with this stoichiometry: 30.8 kJ/mol of atoms

a = 5.8870 Å, b = 5.8870 Å, c = 5.8870 Å
α = 90.00°, β = 90.00°, γ = 90.00°
Space group Fm-3m (No. 225)
Inequivalent atoms, fractional coordinates:
Be 0.0000 0.0000 0.0000 [4 per cell]
Cu 0.0000 0.0000 0.5000 [4 per cell]
W 0.2500 0.2500 0.2500 [8 per cell]

---

# 3
This record from Alexandria via LeMat-Bulk describes BeCuW at its PBEsol-relaxed geometry. The functional is meta-GGA SCAN.

- Total DFT energy (no corrections): -29.435 eV per atom
- Energy of formation: 0.94 eV/f.u.
- Energy above the lowest structure with this stoichiometry: 0.0 kJ/mol of atoms

a = 2.6417 Å, b = 2.6417 Å, c = 6.1770 Å
α = 90.00°, β = 90.00°, γ = 120.00°
Space group P3m1 (No. 156)
Inequivalent atoms, fractional coordinates:
Be 0.0000 0.0000 0.0000 [1 per cell]
Cu 0.6667 0.3333 0.7048 [1 per cell]
W 0.3333 0.6667 0.3388 [1 per cell]

---

# 4
This record from Alexandria via LeMat-Bulk describes BeCuW2 at its PBEsol-relaxed geometry. The functional is meta-GGA SCAN.

- Total DFT energy (no corrections): -39.559 eV per atom
- Energy of formation: 0.69 eV/f.u.
- Energy above the lowest structure with this stoichiometry: 0.0 kJ/mol of atoms

a = 2.7023 Å, b = 4.0067 Å, c = 4.8889 Å
α = 90.00°, β = 100.15°, γ = 90.00°
Space group Pm (No. 6)
Inequivalent atoms, fractional coordinates:
Be 0.0000 0.0000 0.0000 [1 per cell]
Cu 0.0704 0.5000 0.2484 [1 per cell]
W 0.4233 0.5000 0.7858 [1 per cell]
W 0.6539 0.0000 0.4868 [1 per cell]

---

# 5
This record from Alexandria via LeMat-Bulk describes Y2BeCu at its PBEsol-relaxed geometry. The functional is meta-GGA SCAN.

- Total DFT energy (no corrections): -18.465 eV per atom
- Energy of formation: 1.38 eV/f.u.

a = 6.6533 Å, b = 6.6533 Å, c = 6.6533 Å
α = 90.00°, β = 90.00°, γ = 90.00°
Space group F-43m (No. 216)
Inequivalent atoms, fractional coordinates:
Y 0.0000 0.0000 0.0000 [4 per cell]
Y 0.2500 0.2500 0.2500 [4 per cell]
Be 0.0000 0.0000 0.5000 [4 per cell]
Cu 0.2500 0.2500 0.7500 [4 per cell]

---

# 6
This record from Alexandria via LeMat-Bulk describes YBe3Cu at its PBEsol-relaxed geometry. The functional is meta-GGA SCAN.

- Total DFT energy (no corrections): -8.952 eV per atom
- Energy of formation: 11.34 eV/f.u.
- Energy above the lowest structure with this stoichiometry: 215.9 kJ/mol of atoms

a = 4.8589 Å, b = 4.8589 Å, c = 4.8589 Å
α = 90.00°, β = 90.00°, γ = 90.00°
Space group Pm-3m (No. 221)
Inequivalent atoms, fractional coordinates:
Y 0.0000 0.0000 0.0000 [1 per cell]
Be 0.0000 0.0000 0.5000 [3 per cell]
Cu 0.5000 0.5000 0.5000 [1 per cell]

---

# 7
This record from Alexandria via LeMat-Bulk describes YBeCu4 at its PBEsol-relaxed geometry. The functional is meta-GGA SCAN.

- Total DFT energy (no corrections): -15.721 eV per atom
- Energy of formation: -1.33 eV/f.u.

a = 4.9988 Å, b = 4.9988 Å, c = 3.7982 Å
α = 90.00°, β = 90.00°, γ = 120.00°
Space group P-6m2 (No. 187)
Inequivalent atoms, fractional coordinates:
Y 0.0000 0.0000 0.0000 [1 per cell]
Be 0.6667 0.3333 0.0000 [1 per cell]
Cu 0.3333 0.6667 0.0000 [1 per cell]
Cu 0.5042 0.0085 0.5000 [3 per cell]

---

# 8
This record from Alexandria via LeMat-Bulk describes YBe3Cu at its PBEsol-relaxed geometry. The functional is meta-GGA SCAN.

- Total DFT energy (no corrections): -11.190 eV per atom
- Energy of formation: 0.15 eV/f.u.
- Energy above the lowest structure with this stoichiometry: 0.0 kJ/mol of atoms

a = 4.0998 Å, b = 4.0998 Å, c = 4.0998 Å
α = 90.00°, β = 90.00°, γ = 90.00°
Space group Pm-3m (No. 221)
Inequivalent atoms, fractional coordinates:
Y 0.0000 0.0000 0.0000 [1 per cell]
Be 0.0000 0.5000 0.5000 [3 per cell]
Cu 0.5000 0.5000 0.5000 [1 per cell]

---

# 9
This record from Alexandria via LeMat-Bulk describes BeZnCu2 at its PBEsol-relaxed geometry. The functional is meta-GGA SCAN.

- Total DFT energy (no corrections): -12.155 eV per atom
- Energy of formation: -0.35 eV/f.u.
- Energy above the lowest structure with this stoichiometry: 1.0 kJ/mol of atoms

a = 2.7689 Å, b = 3.9696 Å, c = 7.9771 Å
α = 90.00°, β = 90.00°, γ = 90.00°
Space group Imm2 (No. 44)
Inequivalent atoms, fractional coordinates:
Be 0.0000 0.0000 0.0000 [2 per cell]
Zn 0.0000 0.5000 0.7445 [2 per cell]
Cu 0.0000 0.0000 0.5101 [2 per cell]
Cu 0.0000 0.5000 0.2748 [2 per cell]

---

# 10
This record from Alexandria via LeMat-Bulk describes BeZnCu2 at its PBEsol-relaxed geometry. The functional is meta-GGA SCAN.

- Total DFT energy (no corrections): -12.151 eV per atom
- Energy of formation: -0.34 eV/f.u.
- Energy above the lowest structure with this stoichiometry: 1.4 kJ/mol of atoms

a = 3.6016 Å, b = 3.6016 Å, c = 3.4000 Å
α = 90.00°, β = 90.00°, γ = 90.00°
Space group P4/mmm (No. 123)
Inequivalent atoms, fractional coordinates:
Be 0.0000 0.0000 0.0000 [1 per cell]
Zn 0.5000 0.5000 0.0000 [1 per cell]
Cu 0.0000 0.5000 0.5000 [2 per cell]

---

# 11
This record from Alexandria via LeMat-Bulk describes BeZnCu at its PBEsol-relaxed geometry. The functional is meta-GGA SCAN.

- Total DFT energy (no corrections): -10.828 eV per atom
- Energy of formation: 0.58 eV/f.u.

a = 5.2920 Å, b = 5.2920 Å, c = 5.2920 Å
α = 90.00°, β = 90.00°, γ = 90.00°
Space group F-43m (No. 216)
Inequivalent atoms, fractional coordinates:
Be 0.0000 0.0000 0.0000 [4 per cell]
Zn 0.2500 0.2500 0.2500 [4 per cell]
Cu 0.2500 0.2500 0.7500 [4 per cell]

---

# 12
This record from Alexandria via LeMat-Bulk describes BeZnCu2 at its PBEsol-relaxed geometry. The functional is meta-GGA SCAN.

- Total DFT energy (no corrections): -12.141 eV per atom
- Energy of formation: -0.30 eV/f.u.
- Energy above the lowest structure with this stoichiometry: 2.3 kJ/mol of atoms

a = 2.6936 Å, b = 2.6936 Å, c = 6.0312 Å
α = 90.00°, β = 90.00°, γ = 90.00°
Space group P4mm (No. 99)
Inequivalent atoms, fractional coordinates:
Be 0.0000 0.0000 0.0000 [1 per cell]
Zn 0.5000 0.5000 0.7471 [1 per cell]
Cu 0.0000 0.0000 0.4698 [1 per cell]
Cu 0.5000 0.5000 0.2002 [1 per cell]

---

Repeat the seventh record exactly.
This record from Alexandria via LeMat-Bulk describes YBeCu4 at its PBEsol-relaxed geometry. The functional is meta-GGA SCAN.

- Total DFT energy (no corrections): -15.721 eV per atom
- Energy of formation: -1.33 eV/f.u.

a = 4.9988 Å, b = 4.9988 Å, c = 3.7982 Å
α = 90.00°, β = 90.00°, γ = 120.00°
Space group P-6m2 (No. 187)
Inequivalent atoms, fractional coordinates:
Y 0.0000 0.0000 0.0000 [1 per cell]
Be 0.6667 0.3333 0.0000 [1 per cell]
Cu 0.3333 0.6667 0.0000 [1 per cell]
Cu 0.5042 0.0085 0.5000 [3 per cell]

---

Q: Which formula does entry 1 have?
A: BeCuW